# ScMnAs2 (PBE, relaxed)
# Relative energy among the computed polymorphs   0.066 eV per atom
# Calculated formation energy   -2.407 eV/f.u.
# M_tot   2.25 Bohr magnetons per cell
# Symmetry   R3m (160)
# Theoretical density   5.77 Mg/m³
# Final energy   -27.2 eV for the cell shown
data_ScMnAs2
_chemical_formula_sum 'Sc1 Mn1 As2'
_space_group_name_H-M_alt 'P 1'
_space_group_IT_number 1
_cell_length_a 6.374
_cell_length_b 6.374
_cell_length_c 6.374
_cell_angle_alpha 33.93
_cell_angle_beta 33.93
_cell_angle_gamma 33.93
loop_
_space_group_symop_operation_xyz
'x,y,z'
loop_
_atom_site_label
_atom_site_type_symbol
_atom_site_fract_x
_atom_site_fract_y
_atom_site_fract_z
Sc1 Sc 0.000 0.000 0.000
Mn1 Mn 0.826 0.826 0.826
As1 As 0.421 0.421 0.421
As2 As 0.570 0.570 0.570



# ScMn3As (PBE, relaxed)
# Relative energy among the computed polymorphs   0.000 eV per atom
# Calculated formation energy   1.567 eV/f.u.
# M_tot   8.70 Bohr magnetons per cell
# Symmetry   Pm-3m (221)
# Theoretical density   5.03 Mg/m³
# Final energy   -36.9 eV for the cell shown
data_ScMn3As
_chemical_formula_sum 'Sc1 Mn3 As1'
_space_group_name_H-M_alt 'P 1'
_space_group_IT_number 1
_cell_length_a 4.545
_cell_length_b 4.545
_cell_length_c 4.545
_cell_angle_alpha 90.00
_cell_angle_beta 90.00
_cell_angle_gamma 90.00
loop_
_space_group_symop_operation_xyz
'x,y,z'
loop_
_atom_site_label
_atom_site_type_symbol
_atom_site_fract_x
_atom_site_fract_y
_atom_site_fract_z
Sc1 Sc 0.000 0.000 0.000
Mn1 Mn 0.000 0.500 0.500
Mn2 Mn 0.500 0.000 0.500
Mn3 Mn 0.500 0.500 0.000
As1 As 0.500 0.500 0.500



# ScMn2As (PBE, relaxed)
# Calculated formation energy   0.279 eV/f.u.
# M_tot   12.46 Bohr magnetons per cell
# Symmetry   I-42d (122)
# Theoretical density   5.30 Mg/m³
# Final energy   -58.1 eV for the cell shown
data_ScMn2As
_chemical_formula_sum 'Sc2 Mn4 As2'
_space_group_name_H-M_alt 'P 1'
_space_group_IT_number 1
_cell_length_a 5.839
_cell_length_b 5.839
_cell_length_c 5.839
_cell_angle_alpha 102.08
_cell_angle_beta 102.08
_cell_angle_gamma 125.56
loop_
_space_group_symop_operation_xyz
'x,y,z'
loop_
_atom_site_label
_atom_site_type_symbol
_atom_site_fract_x
_atom_site_fract_y
_atom_site_fract_z
Sc1 Sc 0.000 0.000 0.000
Sc2 Sc 0.750 0.250 0.500
Mn1 Mn 0.176 0.625 0.051
Mn2 Mn 0.375 0.426 0.551
Mn3 Mn 0.574 0.125 0.949
Mn4 Mn 0.875 0.824 0.449
As1 As 0.250 0.750 0.500
As2 As 0.500 0.500 0.000



# ScMnAs2 (PBE, relaxed)
# Relative energy among the computed polymorphs   0.228 eV per atom
# Calculated formation energy   -1.759 eV/f.u.
# M_tot   3.49 Bohr magnetons per cell
# Symmetry   Cmmm (65)
# Theoretical density   5.72 Mg/m³
# Final energy   -26.6 eV for the cell shown
data_ScMnAs2
_chemical_formula_sum 'Sc1 Mn1 As2'
_space_group_name_H-M_alt 'P 1'
_space_group_IT_number 1
_cell_length_a 3.331
_cell_length_b 3.331
_cell_length_c 6.860
_cell_angle_alpha 90.00
_cell_angle_beta 90.00
_cell_angle_gamma 107.86
loop_
_space_group_symop_operation_xyz
'x,y,z'
loop_
_atom_site_label
_atom_site_type_symbol
_atom_site_fract_x
_atom_site_fract_y
_atom_site_fract_z
Sc1 Sc 0.000 0.000 0.000
Mn1 Mn 0.000 0.000 0.500
As1 As 0.500 0.500 0.266
As2 As 0.500 0.500 0.734